VASP calculation (PBE) on a relaxed KIn2NiGe crystal.

Results
Density of states at the Fermi level in states/eV/cell: 3.501
Total DFT energy (no corrections) in eV/atom: -3.39
Size of the total moment in μB per cell: 0.0
Space group: P4/mmm, No. 123

abc: 5.123 5.123 4.758
angles: 90.00 90.00 90.00
Positions (direct):
K (0.000, 0.000, 0.000)
In (0.000, 0.500, 0.500)
In (0.500, 0.000, 0.500)
Ni (0.500, 0.500, 0.500)
Ge (0.500, 0.500, 0.000)